1.
Computed, not measured: Bi3HPd6 after structural relaxation at the GGA-PBE level of DFT.

The structure in POSCAR format:
```
Bi3HPd6
1.0
-2.6945 3.2409 -1.8890
-6.9282 -2.8844 4.9340
4.4187 6.3406 4.5755
Pd Bi H
12 6 2
direct
0.1483 0.3929 0.9387
0.6484 0.6053 0.7306
0.6484 0.2694 0.3947
0.6483 0.9387 0.3929
0.1483 0.0613 0.6071
0.6483 0.6071 0.0613
0.1484 0.7235 0.2765
0.1484 0.7306 0.6053
0.1486 0.0619 0.9381
0.6486 0.9381 0.0619
0.6484 0.2765 0.7235
0.1484 0.3947 0.2694
0.6485 0.9363 0.7221
0.6485 0.2779 0.0637
0.6484 0.6040 0.3960
0.1484 0.3960 0.6040
0.1485 0.0637 0.2779
0.1485 0.7221 0.9363
0.1493 0.1878 0.8122
0.6493 0.8122 0.1878
```

Computed properties:
- DFT total energy: -48.27 eV per formula unit

***

2.
Computed, not measured: CrIr2Rh after structural relaxation at the GGA-PBE level of DFT.

The structure in POSCAR format:
```
CrIr2Rh
1.0
-7.9520 3.8939 0.1057
-8.7514 1.3135 0.3097
-8.0464 2.6929 2.5322
Ir Rh Cr
2 1 1
direct
0.0045 0.0045 0.0045
0.4955 0.4955 0.4955
0.2500 0.2500 0.2500
0.7500 0.7500 0.7500
```

Computed properties:
- Energy relative to the elements: -52 meV/atom

***

3.
Computed, not measured: PrCd2Ag6 after structural relaxation at the GGA-PBE level of DFT.

The structure in POSCAR format:
```
PrCd2Ag6
1.0
-1.5752 -3.0644 0.2155
2.0214 -2.4414 7.7109
-5.0098 1.0930 6.5736
Ag Cd Pr
6 2 1
direct
0.5000 0.3286 0.6714
0.3225 0.9979 0.3571
0.3225 0.3571 0.9979
0.5000 0.6714 0.3286
0.6775 0.6429 0.0021
0.6775 0.0021 0.6429
0.1446 0.3554 0.3554
0.8554 0.6446 0.6446
0.0000 0.0000 0.0000
```

Computed properties:
- Energy relative to the elements: -23 meV/atom

***

4.
Computed, not measured: Ba5Fe4 after structural relaxation at the GGA-PBE level of DFT.

The structure in POSCAR format:
```
Ba5Fe4
1.0
-5.3579 5.3579 2.4378
5.3579 -5.3579 2.4378
5.3579 5.3579 -2.4378
Ba Fe
5 4
direct
0.3217 0.3217 0.6435
0.6783 0.3217 0.0000
0.3217 0.6783 0.0000
0.0000 0.0000 0.0000
0.6783 0.6783 0.3565
0.6034 0.0000 0.6034
0.3966 0.0000 0.3966
0.0000 0.3966 0.3966
0.0000 0.6034 0.6034
```

Computed properties:
- Energy relative to the elements: 761 meV/atom

***

5.
Computed, not measured: K3NaB after structural relaxation at the GGA-PBE level of DFT.

The structure in POSCAR format:
```
K3NaB
1.0
-5.2911 -0.8884 3.2234
3.3391 -1.7152 5.0083
0.1724 5.9534 1.9240
K B Na
3 1 1
direct
0.0000 0.5000 0.0000
0.0000 0.0000 0.5000
0.5000 0.0000 0.0000
0.0000 0.0000 0.0000
0.5000 0.5000 0.5000
```

Computed properties:
- Energy relative to the elements: 736 meV/atom

***

6.
Computed, not measured: LuTe2Pd after structural relaxation at the GGA-PBE level of DFT.

The structure in POSCAR format:
```
LuTe2Pd
1.0
4.3215 0.0000 0.0000
2.1607 3.7425 0.0000
2.1607 1.2475 6.4425
Pd Te Lu
1 2 1
direct
0.0000 0.0000 0.0000
0.2560 0.2560 0.2319
0.7440 0.7440 0.7681
0.5000 0.5000 0.5000
```

Computed properties:
- DFT total energy: -18.83 eV per formula unit

***

7.
Computed, not measured: BeInTeI2 after structural relaxation at the GGA-PBE level of DFT.

The structure in POSCAR format:
```
BeInTeI2
1.0
5.7533 0.0000 0.0000
0.0000 5.7533 0.0000
0.0000 0.0000 4.9679
I In Te Be
2 1 1 1
direct
0.5000 0.0000 0.0000
0.0000 0.5000 0.0000
0.5000 0.5000 0.5000
0.0000 0.0000 0.5000
0.0000 0.0000 0.0000
```

Computed properties:
- DFT total energy: -12.68 eV per formula unit

***

8.
Computed, not measured: NdEu3Cu after structural relaxation at the GGA-PBE level of DFT.

The structure in POSCAR format:
```
NdEu3Cu
1.0
-5.1444 2.2364 -1.1686
-1.3385 -0.1690 5.5688
2.1391 5.2727 0.6742
Nd Cu Eu
1 1 3
direct
0.5000 0.5000 0.5000
0.0000 0.0000 0.0000
0.5000 0.0000 0.0000
0.0000 0.5000 0.0000
0.0000 0.0000 0.5000
```

Computed properties:
- Energy relative to the elements: 135 meV/atom

***

9.
Computed, not measured: Pa3Si after structural relaxation at the GGA-PBE level of DFT.

The structure in POSCAR format:
```
Pa3Si
1.0
-0.8521 -4.3587 0.2855
4.0674 -0.6857 1.6709
-1.5925 0.5808 4.1149
Pa Si
3 1
direct
0.0000 0.5000 0.5000
0.5000 0.0000 0.5000
0.5000 0.5000 0.0000
0.0000 0.0000 0.0000
```

Computed properties:
- DFT total energy: -35.12 eV per formula unit

***

10.
Computed, not measured: NpTi2Sn after structural relaxation at the GGA-PBE level of DFT.

The structure in POSCAR format:
```
NpTi2Sn
1.0
3.1273 0.0000 0.0000
1.5636 2.7083 0.0000
1.5636 0.9028 9.4557
Ti Sn Np
2 1 1
direct
0.7495 0.7495 0.7514
0.2505 0.2505 0.2486
0.5000 0.5000 0.5000
0.0000 0.0000 0.0000
```

Computed properties:
- Energy relative to the elements: 149 meV/atom

***

11.
Computed, not measured: Sm2TmMg2In5 after structural relaxation at the GGA-PBE level of DFT.

The structure in POSCAR format:
```
Sm2TmMg2In5
1.0
-1.7722 -3.4995 2.2529
8.7774 -0.5877 5.9917
-4.3426 6.7188 7.0206
In Mg Sm Tm
10 4 4 2
direct
0.5000 0.4273 0.2986
0.5000 0.2986 0.5727
0.5000 0.0000 0.5000
0.5000 0.0727 0.7986
0.5000 0.7986 0.9273
0.5000 0.7014 0.4273
0.5000 0.9273 0.2014
0.5000 0.2014 0.0727
0.5000 0.5000 0.0000
0.5000 0.5727 0.7014
0.0000 0.3747 0.1253
0.0000 0.6253 0.8747
0.0000 0.1253 0.6253
0.0000 0.8747 0.3747
0.0000 0.1702 0.3298
0.0000 0.8298 0.6702
0.0000 0.3298 0.8298
0.0000 0.6702 0.1702
0.0000 0.0000 0.0000
0.0000 0.5000 0.5000
```

Computed properties:
- Energy relative to the elements: -287 meV/atom

***

12.
Computed, not measured: Pm2Dy2Tl7 after structural relaxation at the GGA-PBE level of DFT.

The structure in POSCAR format:
```
Pm2Dy2Tl7
1.0
-0.7329 -6.7323 1.4065
7.0518 -1.4299 -3.1705
3.0597 2.5612 5.6497
Tl Dy Pm
7 2 2
direct
0.5003 0.7026 0.9998
0.0000 0.0000 0.0000
0.5002 0.7046 0.4998
0.9998 0.2974 0.5003
0.4998 0.2954 0.5002
0.4997 0.2974 0.0002
0.0002 0.7026 0.4997
0.8070 0.5000 0.8070
0.1930 0.5000 0.1930
0.3033 0.0000 0.6967
0.6967 0.0000 0.3033
```

Computed properties:
- Energy relative to the elements: 50 meV/atom

***

| no. | size of the total moment (μB per formula unit) |
| --- | --- |
| 1 | 0.00 |
| 2 | 0.02 |
| 3 | 0.00 |
| 4 | 9.13 |
| 5 | 2.81 |
| 6 | 0.00 |
| 7 | 0.00 |
| 8 | 22.62 |
| 9 | 0.00 |
| 10 | 3.54 |
| 11 | 0.00 |
| 12 | 0.01 |